Entry 1:
! GeAuN2O | the Alexandria database | PBE | optimized geometry; values from VASP
&SYSTEM
  ibrav = 0, nat = 5, ntyp = 4
/
ATOMIC_SPECIES
Ge 72.64 Ge.upf
Au 196.97 Au.upf
N 14.01 N.upf
O 16.00 O.upf
CELL_PARAMETERS angstrom
4.017 0.000 0.000
0.000 4.017 0.000
0.000 0.000 4.390
ATOMIC_POSITIONS angstrom
Ge 0.000 0.000 0.000
Au 2.008 2.008 2.195
N 0.000 2.008 2.195
N 2.008 0.000 2.195
O 2.008 2.008 0.000
! **Formation energy from raw total energies**: 1.579 eV per atom
! **M_tot**: 2.40 μB/f.u.


Entry 2:
! Hf4Te5As | the Alexandria database | PBE | optimized geometry; values from VASP
&SYSTEM
  ibrav = 0, nat = 10, ntyp = 3
/
ATOMIC_SPECIES
Hf 178.49 Hf.upf
Te 127.60 Te.upf
As 74.92 As.upf
CELL_PARAMETERS angstrom
8.759 -1.950 0.000
8.759 1.950 0.000
-1.695 0.000 7.914
ATOMIC_POSITIONS angstrom
Hf -0.460 0.000 2.191
Hf 5.351 0.000 3.388
Hf 10.473 0.000 4.526
Hf 16.284 0.000 5.723
Te 1.486 0.000 6.625
Te 2.468 0.000 2.495
Te 8.759 0.000 0.000
Te 13.356 0.000 5.419
Te 14.338 0.000 1.289
As 7.912 0.000 3.957
! **Formation energy from raw total energies**: -0.812 eV per atom
! **M_tot**: 0.00 μB/f.u.


Entry 3:
! AgAu2Cl | the Alexandria database | PBE | optimized geometry; values from VASP
&SYSTEM
  ibrav = 0, nat = 4, ntyp = 3
/
ATOMIC_SPECIES
Ag 107.87 Ag.upf
Au 196.97 Au.upf
Cl 35.45 Cl.upf
CELL_PARAMETERS angstrom
3.201 0.000 0.000
0.000 4.364 0.000
0.000 0.000 6.198
ATOMIC_POSITIONS angstrom
Ag 0.000 0.000 0.000
Au 0.000 2.182 3.099
Au 1.600 0.000 3.099
Cl 1.600 2.182 0.000
! **Formation energy from raw total energies**: 0.075 eV per atom
! **M_tot**: 0.00 μB/f.u.


Entry 4:
! Au2SeCl6 | the Alexandria database | PBE | optimized geometry; values from VASP
&SYSTEM
  ibrav = 0, nat = 18, ntyp = 3
/
ATOMIC_SPECIES
Au 196.97 Au.upf
Se 78.96 Se.upf
Cl 35.45 Cl.upf
CELL_PARAMETERS angstrom
7.041 -7.172 0.000
7.041 7.172 0.000
-1.087 0.000 6.215
ATOMIC_POSITIONS angstrom
Au 1.263 0.007 1.907
Au 0.719 -0.007 5.015
Au 12.275 0.007 1.200
Au 11.732 -0.007 4.308
Se 6.225 1.150 4.661
Se 6.769 -1.150 1.554
Cl 8.111 -5.457 3.483
Cl 4.883 5.457 2.732
Cl 4.741 2.621 5.372
Cl 8.655 5.457 0.376
Cl 5.116 0.927 2.501
Cl 7.710 2.621 3.951
Cl 4.572 -0.927 5.608
Cl 8.422 0.927 0.607
Cl 5.285 -2.621 2.264
Cl 7.879 -0.927 3.714
Cl 4.340 -5.457 5.839
Cl 8.254 -2.621 0.843
! **Formation energy from raw total energies**: -0.264 eV per atom
! **M_tot**: 0.00 μB/f.u.


Entry 5:
! NdDySe | the Alexandria database | PBE | optimized geometry; values from VASP
&SYSTEM
  ibrav = 0, nat = 12, ntyp = 3
/
ATOMIC_SPECIES
Nd 144.24 Nd.upf
Dy 162.50 Dy.upf
Se 78.96 Se.upf
CELL_PARAMETERS angstrom
4.332 -5.445 0.000
4.332 5.445 0.000
0.000 0.000 7.612
ATOMIC_POSITIONS angstrom
Nd 1.742 0.000 0.000
Nd 2.591 0.000 3.806
Nd 6.074 0.000 3.806
Nd 6.923 0.000 0.000
Dy 4.332 3.262 5.058
Dy 4.332 2.183 1.252
Dy 4.332 -2.183 6.360
Dy 4.332 -3.262 2.554
Se 4.332 4.729 2.325
Se 4.332 0.717 6.131
Se 4.332 -0.717 1.481
Se 4.332 -4.729 5.287
! **Formation energy from raw total energies**: -1.003 eV per atom
! **M_tot**: 0.00 μB/f.u.


Entry 6:
! TbEuGa2 | the Alexandria database | PBE | optimized geometry; values from VASP
&SYSTEM
  ibrav = 0, nat = 4, ntyp = 3
/
ATOMIC_SPECIES
Tb 158.93 Tb.upf
Eu 151.96 Eu.upf
Ga 69.72 Ga.upf
CELL_PARAMETERS angstrom
3.683 0.000 0.000
0.000 3.683 0.000
0.000 0.000 7.305
ATOMIC_POSITIONS angstrom
Tb 0.000 0.000 0.000
Eu 0.000 0.000 3.653
Ga 1.842 1.842 1.665
Ga 1.842 1.842 5.640
! **Formation energy**: -0.528 eV per atom
! **M_tot**: 7.17 μB/f.u.


Entry 7:
! HgPtSe2 | the Alexandria database | PBE | optimized geometry; values from VASP
&SYSTEM
  ibrav = 0, nat = 16, ntyp = 3
/
ATOMIC_SPECIES
Hg 200.59 Hg.upf
Pt 195.08 Pt.upf
Se 78.96 Se.upf
CELL_PARAMETERS angstrom
3.449 0.000 0.000
0.000 25.484 0.000
0.000 0.000 4.233
ATOMIC_POSITIONS angstrom
Hg 0.000 1.013 1.058
Hg 0.000 24.471 3.175
Hg 1.725 11.729 3.175
Hg 1.725 13.756 1.058
Pt 0.000 7.900 1.058
Pt 0.000 17.584 3.175
Pt 1.725 4.842 3.175
Pt 1.725 20.642 1.058
Se 0.000 2.952 3.175
Se 0.000 5.392 1.058
Se 0.000 20.092 3.175
Se 0.000 22.533 1.058
Se 1.725 7.350 3.175
Se 1.725 9.790 1.058
Se 1.725 15.694 3.175
Se 1.725 18.134 1.058
! **Formation energy from raw total energies**: 0.005 eV per atom
! **M_tot**: 0.00 μB/f.u.